Entry from Alexandria: Mg4GaSn2 after structural relaxation (PBE).

## Properties
VASP energy	-2.5717	eV per atom
spin magnetization	0.00	Bohr magnetons per cell

abc: 6.0502 6.4882 9.3631
angles: 105.64 107.83 97.90
With the nearest neighbours (Å) after each atom.
Fractional positions:
Mg (0.0000, 0.0000, 0.0000)  1 Ga 2.90, 4 Sn 3.02-3.16
Mg (0.0334, 0.2076, 0.5379)  2 Ga 2.74-2.87, 3 Sn 2.96-3.02
Mg (0.0862, 0.7131, 0.5567)  2 Ga 2.73-2.89, 1 Sn 2.95
Mg (0.2906, 0.5144, 0.1138)  2 Ga 2.76-2.81, 3 Sn 2.98-3.07, 2 Mg 3.02-3.06
Mg (0.5375, 0.4600, 0.4860)  2 Ga 2.80-2.90, 1 Sn 3.06
Mg (0.5930, 0.0612, 0.1604)  2 Ga 2.83-2.87, 3 Sn 3.14-3.17
Mg (0.6410, 0.0128, 0.6518)  1 Ga 2.86, 4 Sn 3.09-3.19, 1 Mg 3.13
Mg (0.7792, 0.5373, 0.0884)  2 Ga 2.79-2.87, 2 Mg 3.02-3.06, 2 Sn 3.07
Ga (0.0559, 0.3457, 0.2892)  7 Mg 2.74-2.90, 1 Sn 3.06
Ga (0.6932, 0.7927, 0.3599)  7 Mg 2.73-2.90, 1 Sn 3.02
Sn (0.2277, 0.9330, 0.3211)  7 Mg 2.96-3.19, 2 Ga 3.02-3.06
Sn (0.3310, 0.1650, 0.8483)  7 Mg 2.98-3.20, 1 Sn 3.24
Sn (0.4819, 0.7005, 0.8301)  5 Mg 2.95-3.18, 2 Sn 3.20-3.24
Sn (0.9273, 0.5019, 0.7982)  7 Mg 2.96-3.25, 2 Sn 3.20-3.32

---

Entry from Alexandria: MgGaSn after structural relaxation (PBE).

## Properties
distance to the lowest polymorph of the same formula	0.011	eV/atom
spin magnetization	0.00	Bohr magnetons per cell

abc: 5.0966 5.0966 3.0182
angles: 90.00 90.00 120.00
With the nearest neighbours (Å) after each atom.
Fractional positions:
Mg (0.0000, 0.0000, 0.0000)  2 Mg 3.02, 6 Ga 3.30-3.31, 6 Sn 3.30-3.31
Ga (0.6667, 0.3333, 0.5018)  3 Sn 2.94, 2 Ga 3.02
Sn (0.3333, 0.6667, 0.4985)  3 Ga 2.94, 2 Sn 3.02

---

Entry from Alexandria: Mg2GaSn2 after structural relaxation (PBE).

## Properties
distance to the lowest polymorph of the same formula	0.114	eV/atom
spin magnetization	0.00	Bohr magnetons per cell

abc: 6.9712 6.9712 6.9712
angles: 140.17 140.17 57.60
With the nearest neighbours (Å) after each atom.
Fractional positions:
Mg (0.2500, 0.7500, 0.5000)  4 Sn 2.91
Mg (0.7500, 0.2500, 0.5000)  4 Sn 2.91
Ga (0.0000, 0.0000, 0.0000)  8 Sn 3.63, 8 Mg 3.87
Sn (0.3879, 0.3879, 0.0000)  1 Sn 2.74, 4 Mg 2.91
Sn (0.6121, 0.6121, 0.0000)  1 Sn 2.74, 4 Mg 2.91

---

Entry from Alexandria: Mg2GaSn2 after structural relaxation (PBE).

## Properties
distance to the lowest polymorph of the same formula	0.035	eV/atom
spin magnetization	0.00	Bohr magnetons per cell

abc: 8.7482 8.7482 3.1972
angles: 90.00 90.00 90.00
With the nearest neighbours (Å) after each atom.
Fractional positions:
Mg (0.1345, 0.3655, 0.0000)  6 Sn 2.97-3.07, 2 Mg 3.20
Mg (0.3655, 0.8655, 0.0000)  6 Sn 2.97-3.07, 2 Mg 3.20
Mg (0.6345, 0.1345, 0.0000)  6 Sn 2.97-3.07, 2 Mg 3.20
Mg (0.8655, 0.6345, 0.0000)  6 Sn 2.97-3.07, 2 Mg 3.20
Ga (0.0000, 0.0000, 0.5000)  2 Ga 3.20, 4 Sn 3.27
Ga (0.5000, 0.5000, 0.5000)  2 Ga 3.20, 4 Sn 3.27
Sn (0.1633, 0.6633, 0.5000)  6 Mg 2.97-3.07, 2 Sn 3.20, 2 Ga 3.27
Sn (0.3367, 0.1633, 0.5000)  6 Mg 2.97-3.07, 2 Sn 3.20, 2 Ga 3.27
Sn (0.6633, 0.8367, 0.5000)  6 Mg 2.97-3.07, 2 Sn 3.20, 2 Ga 3.27
Sn (0.8367, 0.3367, 0.5000)  6 Mg 2.97-3.07, 2 Sn 3.20, 2 Ga 3.27

---

Entry from Alexandria: MgGa6Sn2 after structural relaxation (PBE).

## Properties
VASP energy	-3.0842	eV per atom
spin magnetization	0.00	Bohr magnetons per cell

abc: 6.0454 6.0454 8.9813
angles: 115.84 115.84 41.09
With the nearest neighbours (Å) after each atom.
Fractional positions:
Mg (0.0000, 0.0000, 0.0000)  6 Ga 2.98-3.12, 4 Sn 3.09
Ga (0.0246, 0.0246, 0.6832)  7 Ga 2.87-3.07, 1 Mg 2.98, 2 Sn 3.18
Ga (0.3322, 0.3322, 0.0748)  5 Ga 2.73-2.98
Ga (0.3592, 0.3592, 0.4209)  6 Ga 2.82-3.07, 3 Sn 2.91-2.93
Ga (0.6408, 0.6408, 0.5791)  6 Ga 2.82-3.07, 3 Sn 2.91-2.93
Ga (0.6678, 0.6678, 0.9252)  5 Ga 2.73-2.98
Ga (0.9754, 0.9754, 0.3168)  7 Ga 2.87-3.07, 1 Mg 2.98, 2 Sn 3.18
Sn (0.3367, 0.3367, 0.7327)  6 Ga 2.91-3.18, 2 Mg 3.09
Sn (0.6633, 0.6633, 0.2673)  6 Ga 2.91-3.18, 2 Mg 3.09

---

Entry from Alexandria: Mg4GaSn2 after structural relaxation (PBE).

## Properties
VASP energy	-2.5702	eV per atom
spin magnetization	0.00	Bohr magnetons per cell

abc: 6.0520 6.0520 6.0520
angles: 113.32 113.32 102.03
With the nearest neighbours (Å) after each atom.
Fractional positions:
Mg (0.0000, 0.0000, 0.5000)  4 Sn 3.03, 2 Ga 3.03, 4 Mg 3.33
Mg (0.0000, 0.5000, 0.0000)  4 Sn 3.03, 2 Ga 3.03, 4 Mg 3.33
Mg (0.5000, 0.0000, 0.0000)  4 Sn 3.03, 2 Ga 3.03, 4 Mg 3.33
Mg (0.5000, 0.5000, 0.5000)  4 Sn 3.03, 2 Ga 3.03, 4 Mg 3.33
Ga (0.0000, 0.0000, 0.0000)  8 Mg 3.03, 4 Sn 3.33
Sn (0.0000, 0.5000, 0.5000)  8 Mg 3.03, 2 Ga 3.33
Sn (0.5000, 0.0000, 0.5000)  8 Mg 3.03, 2 Ga 3.33

---

Entry from Alexandria: Mg2Ga3Sn after structural relaxation (PBE).

## Properties
VASP energy	-2.6968	eV per atom
spin magnetization	0.00	Bohr magnetons per cell

abc: 5.2227 5.2227 11.1126
angles: 90.41 90.41 66.93
With the nearest neighbours (Å) after each atom.
Fractional positions:
Mg (0.2480, 0.2515, 0.1096)  6 Ga 2.84-3.05, 2 Sn 3.04-3.05
Mg (0.2515, 0.2480, 0.6096)  6 Ga 2.84-3.05, 2 Sn 3.04-3.05
Mg (0.7485, 0.7520, 0.3904)  6 Ga 2.84-3.05, 2 Sn 3.04-3.05
Mg (0.7520, 0.7485, 0.8904)  6 Ga 2.84-3.05, 2 Sn 3.04-3.05
Ga (0.2511, 0.7475, 0.5093)  3 Ga 2.68-2.91, 4 Mg 2.84-2.93, 1 Sn 2.88
Ga (0.2524, 0.7476, 0.7500)  2 Ga 2.68, 2 Sn 2.87-2.89
Ga (0.2525, 0.7489, 0.9907)  3 Ga 2.68-2.91, 4 Mg 2.84-2.93, 1 Sn 2.88
Ga (0.7475, 0.2511, 0.0093)  3 Ga 2.68-2.91, 4 Mg 2.84-2.93, 1 Sn 2.88
Ga (0.7476, 0.2524, 0.2500)  2 Ga 2.68, 2 Sn 2.87-2.89
Ga (0.7489, 0.2525, 0.4907)  3 Ga 2.68-2.91, 4 Mg 2.84-2.93, 1 Sn 2.88
Sn (0.2465, 0.7535, 0.2500)  4 Ga 2.87-2.89, 4 Mg 3.04-3.05
Sn (0.7535, 0.2465, 0.7500)  4 Ga 2.87-2.89, 4 Mg 3.04-3.05

---

Entry from Alexandria: Mg6Ga2Sn after structural relaxation (PBE).

## Properties
distance to the lowest polymorph of the same formula	0.000	eV/atom
spin magnetization	0.00	Bohr magnetons per cell

abc: 8.0468 8.0468 8.0468
angles: 113.38 113.26 102.02
With the nearest neighbours (Å) after each atom.
Fractional positions:
Mg (0.0412, 0.2490, 0.7922)  2 Ga 2.81-2.88, 2 Sn 3.12-3.14
Mg (0.1948, 0.2834, 0.4782)  3 Ga 2.85-2.88, 1 Sn 3.04
Mg (0.1948, 0.7166, 0.9115)  3 Ga 2.85-2.88, 1 Sn 3.04
Mg (0.3239, 0.0352, 0.7113)  3 Ga 2.74-2.91
Mg (0.3239, 0.6125, 0.2887)  3 Ga 2.74-2.91
Mg (0.4568, 0.2490, 0.2078)  2 Ga 2.81-2.88, 2 Sn 3.12-3.14
Mg (0.5432, 0.7510, 0.7922)  2 Ga 2.81-2.88, 2 Sn 3.12-3.14
Mg (0.6761, 0.3875, 0.7113)  3 Ga 2.74-2.91
Mg (0.6761, 0.9648, 0.2887)  3 Ga 2.74-2.91
Mg (0.8052, 0.2834, 0.0885)  3 Ga 2.85-2.88, 1 Sn 3.04
Mg (0.8052, 0.7166, 0.5218)  3 Ga 2.85-2.88, 1 Sn 3.04
Mg (0.9588, 0.7510, 0.2078)  2 Ga 2.81-2.88, 2 Sn 3.12-3.14
Ga (0.1265, 0.6265, 0.5000)  1 Ga 2.56, 2 Mg 2.74
Ga (0.3486, 0.0000, 0.3486)  1 Ga 2.68, 8 Mg 2.81-2.91
Ga (0.6514, 0.0000, 0.6514)  1 Ga 2.68, 8 Mg 2.81-2.91
Ga (0.8735, 0.3735, 0.5000)  1 Ga 2.56, 2 Mg 2.74
Sn (0.0000, 0.0000, 0.0000)  8 Mg 3.04-3.12, 2 Ga 3.09
Sn (0.5000, 0.5000, 0.0000)  12 Mg 3.11-3.31

---

Ρ for the records above, in order: 4.106; 5.203; 4.287; 4.829; 5.914; 3.985; 4.484; 3.387 g/cm³